NiRuW2: optimized geometry, PBE.

Calculated values
formation enthalpy at 0 K: 0.0818 eV per atom

Structure (CIF):
```
data_NiRuW2
_symmetry_space_group_name_H-M 'P 4 m m'
_symmetry_Int_Tables_number 99
_cell_length_a 3.173
_cell_length_b 3.173
_cell_length_c 5.728
_cell_angle_alpha 90.00
_cell_angle_beta 90.00
_cell_angle_gamma 90.00
loop_
_symmetry_equiv_pos_as_xyz
'x,y,z'
'-y,x,z'
'-x,-y,z'
'y,-x,z'
'-x,y,z'
'y,x,z'
'x,-y,z'
'-y,-x,z'
loop_
_atom_site_label
_atom_site_fract_x
_atom_site_fract_y
_atom_site_fract_z
Ni1 0.000 0.000 0.000
Ru1 0.500 0.500 0.253
W1 0.000 0.000 0.505
W2 0.500 0.500 0.791
```

Ni2RuW: optimized geometry, PBE.

Calculated values
formation enthalpy at 0 K: -0.0182 eV per atom

Structure (CIF):
```
data_Ni2RuW
_symmetry_space_group_name_H-M 'I 4/m m m'
_symmetry_Int_Tables_number 139
_symmetry_space_group_name_Hall '-I 4 2'
_cell_length_a 3.682
_cell_length_b 3.682
_cell_length_c 7.608
_cell_angle_alpha 90.00
_cell_angle_beta 90.00
_cell_angle_gamma 90.00
loop_
_atom_site_label
_atom_site_fract_x
_atom_site_fract_y
_atom_site_fract_z
Ni1 0.000 0.500 0.250
Ru1 0.000 0.000 0.000
W1 0.000 0.000 0.500
```

| no. | N(E_F) (states/eV/cell) | M_tot (μB/f.u.) |
| --- | --- | --- |
| 1 | 2.409 | 0.00 |
| 2 | 10.395 | 0.00 |